The following is a GGA-PBE calculation of Ba3SnHg2Au6 after structural relaxation, from the Alexandria database.

Its total moment is 0.000 μB per atom. For the density of states at the Fermi level, the calculation gives 5.7 states/eV per cell. Its energy of formation is -6.06 eV per formula unit.

It has space group P-3m1 (No. 164), with a = 6.7315 Å, b = 6.7315 Å, c = 8.9689 Å, α = 90.00°, β = 90.00° and γ = 120.00°. The asymmetric unit holds Ba at (0.0000, 0.0000, 0.0000), Ba at (0.3333, 0.6667, 0.6360), Sn at (0.0000, 0.0000, 0.5000), Hg at (0.3333, 0.6667, 0.0201) and Au at (0.1887, 0.3773, 0.2980).